#w
## PrPaBi2 (PBE)

Data for a relaxed PrPaBi2 crystal.

Results
crystal system = tetragonal

Cell: 3.9093 3.9093 7.8627 Å, 90.00 90.00 90.00°
Element x y z (fractional)
Pr 0.5000 0.5000 0.5000
Pa 0.5000 0.5000 0.0000
Bi 0.0000 0.0000 0.7630
Bi 0.0000 0.0000 0.2370

#x
## PrPaBi2 (PBE)

Data for a relaxed PrPaBi2 crystal.

Results
crystal system = cubic

Cell: 5.5337 5.5337 5.5337 Å, 60.00 60.00 60.00°
Element x y z (fractional)
Pr 0.0000 0.0000 0.0000
Pa 0.5000 0.5000 0.5000
Bi 0.2500 0.2500 0.2500
Bi 0.7500 0.7500 0.7500

Energy ordering: #w at the bottom, the next structure 23 meV per atom above.

#w
## PuPa2Bi (PBE)

Data for a relaxed PuPa2Bi crystal.

Results
crystal system = cubic

Cell: 5.3113 5.3113 5.3113 Å, 60.00 60.00 60.00°
Element x y z (fractional)
Pa 0.2500 0.2500 0.2500
Pa 0.7500 0.7500 0.7500
Bi 0.0000 0.0000 0.0000
Pu 0.5000 0.5000 0.5000

#x
## PuPa2Bi (PBE)

Data for a relaxed PuPa2Bi crystal.

Results
crystal system = monoclinic

Cell: 5.2156 3.9656 10.8017 Å, 90.00 104.00 90.00°
Element x y z (fractional)
Pu 0.6755 0.7500 0.3505
Pu 0.3245 0.2500 0.6495
Pa 0.5650 0.2500 0.1297
Pa 0.4350 0.7500 0.8703
Pa 0.0436 0.7500 0.0871
Pa 0.9564 0.2500 0.9129
Bi 0.1712 0.2500 0.3420
Bi 0.8288 0.7500 0.6580

Energy ordering: #x at the bottom, the next structure 180 meV per atom above.